Density functional theory data (PBE-GGA) for crystalline Mn2BrCl at its relaxed geometry.

Lattice parameters (Å, degrees): 4.043 3.494 6.123 95.86 90.00 90.00
Each line ends with the local moment (μB).
Fractional positions:
Mn  0.000  0.035  0.934  3.88
Mn  0.000  0.465  0.566  3.88
Br  0.500  0.250  0.250  0.04
Cl  0.500  0.750  0.750  0.04

* formation energy from raw total energies: 0.048 eV per atom
* uncorrected energy: -5.42 eV per atom
* density: 4.35 g cm⁻³